The following is a DFT calculation (GGA-PBE) of a relaxed structure of TmRuRh2C.

- SG = No. 123
- calculated formation energy (meV/atom) = -444

a b c (Å): 4.1694 4.1694 4.1245
angles (deg): 90.00 90.00 90.00
Fractional coordinates of all 5 atoms:
Tm (0.0000, 0.0000, 0.0000)
Ru (0.5000, 0.5000, 0.0000)
Rh (0.0000, 0.5000, 0.5000)
Rh (0.5000, 0.0000, 0.5000)
C (0.5000, 0.5000, 0.5000)

=====

The following is a DFT calculation (GGA-PBE) of a relaxed structure of Ta2PbSe.

- ΔE_f (raw) (eV per atom) = -0.05
- polymorph energy (0 for the lowest one) (eV per formula unit) = 0.06
- SG = No. 160

a b c (Å): 10.3691 10.3691 10.3691
angles (deg): 18.13 18.13 18.13
Fractional coordinates of all 4 atoms:
Ta (0.0000, 0.0000, 0.0000)
Ta (0.2631, 0.2631, 0.2631)
Pb (0.5113, 0.5113, 0.5113)
Se (0.7253, 0.7253, 0.7253)

=====

Total magnetic moment: 0.00; 0.00 (μB/cell)